Record 1
DyHfTe4 | PBE | relaxed

The space group is P2_1/c (No. 14) and the conventional cell measures 7.2515, 7.3441 and 7.2846 Å, with angles of 90.00, 92.26 and 90.00 degrees. The distinct sites, in fractional coordinates, are Dy at (0.0000, 0.0000, 0.0000), Hf at (0.5000, 0.0000, 0.5000), Te at (0.1443, 0.1307, 0.3841) and Te at (0.3712, 0.6515, 0.3392).

As for the density of states at the Fermi level: 0.68 states/eV per atom. The calculation puts the energy above the most stable polymorph in this dataset at 14.52 kJ/mol of atoms. The calculation puts the energy at -63.4 eV/cell. Its formation energy from raw total energies is -0.77 eV/atom. The total magnetization is 0.0000 μB per atom.

***

Record 2
Dy2HfTl3Te6 | PBE | relaxed

The space group is C2/m (No. 12) and the conventional cell measures 7.4941, 12.9637 and 8.6352 Å, with angles of 90.00, 106.80 and 90.00 degrees. The distinct sites, in fractional coordinates, are Dy at (0.0000, 0.1657, 0.0000), Hf at (0.0000, 0.5000, 0.0000), Tl at (0.0000, 0.0000, 0.5000), Tl at (0.0000, 0.3274, 0.5000), Te at (0.2285, 0.3410, 0.2093) and Te at (0.2458, 0.5000, 0.7860).

As for the density of states at the Fermi level: 0.39 states/eV per atom. The calculation puts the energy at -111.0 eV/cell. Its formation energy from raw total energies is -0.86 eV/atom. The total magnetization is 0.0000 μB per atom.

***

Record 3
Dy2HfTl2Te6 | PBE | relaxed

The space group is C2/m (No. 12) and the conventional cell measures 7.4718, 12.9096 and 8.6600 Å, with angles of 90.00, 107.37 and 90.00 degrees. The distinct sites, in fractional coordinates, are Dy at (0.0000, 0.1687, 0.0000), Hf at (0.0000, 0.5000, 0.0000), Tl at (0.0000, 0.3299, 0.5000), Te at (0.2330, 0.3429, 0.2101) and Te at (0.2451, 0.5000, 0.7913).

The calculation puts the energy at -106.9 eV/cell. Its formation energy from raw total energies is -0.97 eV/atom. The total magnetization is 0.0000 μB per atom.

***

Record 4
Dy3HfTl3Te8 | PBE | relaxed

The space group is R-3m (No. 166, hexagonal axes) and the conventional cell measures 8.6994, 8.6994 and 24.9383 Å, with angles of 90.00, 90.00 and 120.00 degrees. The distinct sites, in fractional coordinates, are Dy at (0.0000, 0.5000, 0.0000), Hf at (0.0000, 0.0000, 0.0000), Tl at (0.0000, 0.5000, 0.5000), Te at (0.0000, 0.0000, 0.2619) and Te at (0.0158, 0.5079, 0.7354).

As for the density of states at the Fermi level: 0.00 states/eV per atom. The calculation puts the energy at -212.8 eV/cell. Its formation energy from raw total energies is -1.00 eV/atom. The total magnetization is 0.0000 μB per atom.

***

Please write out number 2 again, unchanged.
Dy2HfTl3Te6 | PBE | relaxed

The space group is C2/m (No. 12) and the conventional cell measures 7.4941, 12.9637 and 8.6352 Å, with angles of 90.00, 106.80 and 90.00 degrees. The distinct sites, in fractional coordinates, are Dy at (0.0000, 0.1657, 0.0000), Hf at (0.0000, 0.5000, 0.0000), Tl at (0.0000, 0.0000, 0.5000), Tl at (0.0000, 0.3274, 0.5000), Te at (0.2285, 0.3410, 0.2093) and Te at (0.2458, 0.5000, 0.7860).

As for the density of states at the Fermi level: 0.39 states/eV per atom. The calculation puts the energy at -111.0 eV/cell. Its formation energy from raw total energies is -0.86 eV/atom. The total magnetization is 0.0000 μB per atom.